PaNiOs2: relaxed, PBE.

Electronic total energy in Ry/atom: -0.6959
ΔE_f in eV/f.u.: -0.134
Distance to the lowest polymorph of the same formula in meV per atom: 224
Space group: R-3m (166)

abc: 5.120 5.120 5.120
angles: 51.91 51.91 51.91
Atoms (fractional coordinates):
1 Pa 0.000 0.000 0.000
2 Ni 0.500 0.500 0.500
3 Os 0.186 0.186 0.186
4 Os 0.814 0.814 0.814